Arrangement 1

Material: Tb2HfGa
Method: DFT, PBE-GGA
State: relaxed

Its symmetry is P4/mmm, No. 123.

Cell: 3.4087 3.4087 8.6254 Å, 90.00 90.00 90.00°
With the nearest neighbours (Å) after each atom.
Positions (direct):
1 Hf 0.5000 0.5000 0.5000  8 Tb 3.35, 4 Hf 3.41
2 Tb 0.0000 0.0000 0.7705  4 Ga 3.12, 4 Hf 3.35, 4 Tb 3.41
3 Ga 0.5000 0.5000 0.0000  8 Tb 3.12, 4 Ga 3.41
4 Tb 0.0000 0.0000 0.2295  4 Ga 3.12, 4 Hf 3.35, 4 Tb 3.41



Arrangement 2

Material: Tb2HfGa
Method: DFT, PBE-GGA
State: relaxed

Its symmetry is R-3m, No. 166.

Cell: 3.2935 3.2935 11.3262 Å, 81.64 81.64 60.00°
With the nearest neighbours (Å) after each atom.
Positions (direct):
1 Tb 0.0967 0.0967 0.7098  3 Ga 3.02, 1 Hf 3.24, 6 Tb 3.29
2 Ga 0.5000 0.5000 0.5000  6 Tb 3.02, 6 Ga 3.29
3 Hf 0.0000 0.0000 0.0000  2 Tb 3.24, 6 Hf 3.29
4 Tb 0.9033 0.9033 0.2902  3 Ga 3.02, 1 Hf 3.24, 6 Tb 3.29



Arrangement 3

Material: Tb2HfGa
Method: DFT, PBE-GGA
State: relaxed

Its symmetry is P4/mmm, No. 123.

Cell: 4.5919 4.5644 4.5644 Å, 90.00 90.00 90.00°
With the nearest neighbours (Å) after each atom.
Positions (direct):
1 Tb 0.0000 0.0000 0.5000  4 Tb 3.23, 4 Hf 3.24, 4 Ga 3.24
2 Ga 0.5000 0.0000 0.0000  4 Hf 3.23, 8 Tb 3.24
3 Tb 0.0000 0.5000 0.0000  4 Tb 3.23, 4 Hf 3.24, 4 Ga 3.24
4 Hf 0.5000 0.5000 0.5000  4 Ga 3.23, 8 Tb 3.24



arrangement 1 comes first in stability; the runner-up is 0.040 eV/atom higher.